[1]
Entry from the Alexandria database: a geometry-optimized Tl2SnHg3Pb3 structure (PBE).

Unit cell a=3.558 b=9.258 c=9.258 alpha=120.00 beta=90.00 gamma=90.00
Fractional positions:
Tl  0.500  0.667  0.333
Tl  0.500  0.333  0.667
Sn  0.000  0.000  0.000
Hg  0.000  0.636  0.636
Hg  0.000  0.000  0.364
Hg  0.000  0.364  0.000
Pb  0.500  0.702  0.000
Pb  0.500  0.000  0.702
Pb  0.500  0.298  0.298

Output
Uncorrected energy (eV/cell): -20.22
ΔH_f (0 K) (eV/f.u.): 0.5
Symmetry: P-62m (189)



[2]
Entry from the Alexandria database: a geometry-optimized CoBr structure (PBE).

Unit cell a=11.066 b=11.066 c=3.629 alpha=90.00 beta=90.00 gamma=90.00
Site moments in Bohr magnetons follow the coordinates.
Fractional positions:
Co  0.428  0.081  0.000  1.87
Co  0.572  0.919  0.000  1.87
Co  0.919  0.428  0.000  1.87
Co  0.081  0.572  0.000  1.87
Co  0.928  0.581  0.500  1.87
Co  0.072  0.419  0.500  1.87
Co  0.419  0.928  0.500  1.87
Co  0.581  0.072  0.500  1.87
Br  0.263  0.936  0.000  0.09
Br  0.737  0.064  0.000  0.09
Br  0.064  0.263  0.000  0.09
Br  0.936  0.737  0.000  0.09
Br  0.763  0.436  0.500  0.09
Br  0.237  0.564  0.500  0.09
Br  0.564  0.763  0.500  0.09
Br  0.436  0.237  0.500  0.09

Output
Uncorrected energy (eV/cell): -72.06
E above lowest polymorph (eV per formula unit): 0.00
Symmetry: I4/m (87)
ΔE_f (raw) (eV per atom): -0.114



[3]
Entry from the Alexandria database: a geometry-optimized LaMn3Ge3 structure (PBE).

Unit cell a=6.747 b=6.747 c=6.747 alpha=90.00 beta=90.00 gamma=90.00
Site moments in Bohr magnetons follow the coordinates.
Fractional positions:
Ge  0.000  0.250  0.500  -0.14
Ge  0.000  0.750  0.500  -0.14
Ge  0.500  0.000  0.750  -0.14
Ge  0.750  0.500  0.000  -0.14
Ge  0.500  0.000  0.250  -0.14
Ge  0.250  0.500  0.000  -0.14
Mn  0.250  0.000  0.500  3.18
Mn  0.000  0.500  0.250  3.18
Mn  0.500  0.750  0.000  3.18
Mn  0.750  0.000  0.500  3.18
Mn  0.000  0.500  0.750  3.18
Mn  0.500  0.250  0.000  3.18
La  0.500  0.500  0.500  0.12
La  0.000  0.000  0.000  0.12

Output
Uncorrected energy (eV/cell): -90.71
ΔH_f (0 K) (eV/f.u.): 0.9
Symmetry: Pm-3n (223)



[4]
Entry from the Alexandria database: a geometry-optimized Li2HoCu2Sb2 structure (PBE).

Unit cell a=4.342 b=4.342 c=8.411 alpha=75.04 beta=75.04 gamma=60.00
Fractional positions:
Li  0.142  0.142  0.574
Li  0.858  0.858  0.426
Ho  0.000  0.000  0.000
Cu  0.556  0.556  0.331
Cu  0.444  0.444  0.669
Sb  0.743  0.743  0.771
Sb  0.257  0.257  0.229

Output
Uncorrected energy (eV/cell): -28.49
Symmetry: R-3m (166)
ΔE_f (raw) (eV per atom): -0.521



| no. | M_tot (μB per formula unit) |
| --- | --- |
| 1 | 0.00 |
| 2 | 2.00 |
| 3 | 10.01 |
| 4 | 0.00 |